# CaNi2AuO, relaxed, DFT GGA+U
data_CaNi2AuO
_chemical_formula_sum 'Ca1 Ni2 Au1 O1'
_cell_length_a 4.6474
_cell_length_b 4.6474
_cell_length_c 5.8295
_cell_angle_alpha 90.00
_cell_angle_beta 90.00
_cell_angle_gamma 90.00
_space_group_name_H-M_alt 'P 4/m m m'
_space_group_IT_number 123
_space_group_name_Hall '-P 4 2'
loop_
_atom_site_label
_atom_site_type_symbol
_atom_site_fract_x
_atom_site_fract_y
_atom_site_fract_z
_atom_site_occupancy
Ca1 Ca 0.0000 0.0000 0.0000 1
Ni1 Ni 0.0000 0.5000 0.5000 1
Au1 Au 0.0000 0.0000 0.5000 1
O1 O 0.5000 0.5000 0.0000 1
# E, eV for the cell shown: -11.29
# Magnetization, μB per formula unit: 2.5